Record 1
Compound: KTl4Pt
Source: OQMD via LeMat-Bulk
Functional: PBE
Structure: optimized geometry

Cell lengths 9.592, 4.203, 8.905 Å; angles 90.00, 90.00, 90.00 degrees
Atoms (fractional coordinates):
K  0.250  0.000  0.090
K  0.750  0.000  0.910
Tl  0.000  0.000  0.500
Tl  0.067  0.500  0.803
Tl  0.250  0.500  0.427
Tl  0.433  0.500  0.803
Tl  0.500  0.000  0.500
Tl  0.567  0.500  0.197
Tl  0.750  0.500  0.573
Tl  0.933  0.500  0.197
Pt  0.250  0.000  0.681
Pt  0.750  0.000  0.319

Calculated values
total energy = -34.754 eV for the cell shown
space-group type = No. 51



Record 2
Compound: KTmPt
Source: OQMD via LeMat-Bulk
Functional: PBE
Structure: optimized geometry

Cell lengths 4.958, 4.958, 4.958 Å; angles 60.00, 60.00, 60.00 degrees
Atoms (fractional coordinates):
K  0.000  0.000  0.000
Tm  0.500  0.500  0.500
Pt  0.250  0.250  0.250

Calculated values
space-group type = No. 216
distance to the lowest polymorph of the same formula = 0 meV/atom



Record 3
Compound: KUPt
Source: OQMD via LeMat-Bulk
Functional: PBE
Structure: optimized geometry

Cell lengths 4.976, 4.976, 4.976 Å; angles 60.00, 60.00, 60.00 degrees
Atoms (fractional coordinates):
K  0.000  0.000  0.000
U  0.500  0.500  0.500
Pt  0.250  0.250  0.250

Calculated values
space-group type = No. 216
distance to the lowest polymorph of the same formula = 0 meV/atom



Record 4
Compound: KPtW
Source: OQMD via LeMat-Bulk
Functional: PBE
Structure: optimized geometry

Cell lengths 4.507, 4.507, 4.507 Å; angles 60.00, 60.00, 60.00 degrees
Atoms (fractional coordinates):
K  0.000  0.000  0.000
Pt  0.500  0.500  0.500
W  0.250  0.250  0.250

Calculated values
space-group type = No. 216
distance to the lowest polymorph of the same formula = 0 meV/atom



Record 5
Compound: KZrPt
Source: OQMD via LeMat-Bulk
Functional: PBE
Structure: optimized geometry

Cell lengths 4.679, 4.679, 4.679 Å; angles 60.00, 60.00, 60.00 degrees
Atoms (fractional coordinates):
K  0.000  0.000  0.000
Zr  0.250  0.250  0.250
Pt  0.750  0.750  0.750

Calculated values
space-group type = No. 216
distance to the lowest polymorph of the same formula = 908 meV/atom



Record 6
Compound: KZrPt
Source: OQMD via LeMat-Bulk
Functional: PBE
Structure: optimized geometry

Cell lengths 4.806, 4.806, 4.806 Å; angles 60.00, 60.00, 60.00 degrees
Atoms (fractional coordinates):
K  0.000  0.000  0.000
Zr  0.500  0.500  0.500
Pt  0.250  0.250  0.250

Calculated values
space-group type = No. 216
distance to the lowest polymorph of the same formula = 0 meV/atom